DFT (PBE-GGA) results for a geometry-optimized BaSrSiIr structure.

Results
DOS(E_F): 1.047 states/eV/atom
Total magnetic moment: 0.0 μB per formula unit
Final energy: -19.93 eV per cell

Cell and atoms, written as POSCAR:
```
BaSrSiIr
1.0
4.2259 -0.0168 -0.0021
-2.1029 3.6656 0.0021
-2.0936 -1.2239 8.6786
Si Sr Ir Ba
1 1 1 1
Direct
0.5019 0.6155 0.1173
0.0077 0.8672 0.8750
0.8373 0.2838 0.1211
0.3452 0.0379 0.3831
```